Entry 1:
# LaMnAs PBE-GGA relaxed
# Final energy in eV per atom: -6.909
# Total magnetization in μB per formula unit: 3.15
# Density of states at the Fermi level in states/eV per atom: 1.5154
# Volume in A^3/atom: 22.53
data_LaMnAs
_cell_length_a 4.3183
_cell_length_b 4.3183
_cell_length_c 4.1861
_cell_angle_alpha 90.00
_cell_angle_beta 90.00
_cell_angle_gamma 120.00
_symmetry_space_group_name_H-M 'P -6 m 2'
_symmetry_Int_Tables_number 187
_symmetry_space_group_name_Hall 'P -6 2'
loop_
_atom_site_label
_atom_site_type_symbol
_atom_site_fract_x
_atom_site_fract_y
_atom_site_fract_z
La1 La 0.0000 0.0000 0.0000
Mn1 Mn 0.6667 0.3333 0.5000
As1 As 0.3333 0.6667 0.5000

---

Entry 2:
# Sm3GePb2 PBE-GGA relaxed
# Final energy in eV per atom: -4.905
# Total magnetization in μB per formula unit: 0.00
# Density of states at the Fermi level in states/eV per atom: 0.7744
# Volume in A^3/atom: 29.39
data_Sm3GePb2
_cell_length_a 12.924
_cell_length_b 4.461
_cell_length_c 12.234
_cell_angle_alpha 90.00
_cell_angle_beta 90.00
_cell_angle_gamma 90.00
_symmetry_space_group_name_H-M 'P n m a'
_symmetry_Int_Tables_number 62
loop_
_symmetry_equiv_pos_as_xyz
'x,y,z'
'-x,-y,-z'
'-x+1/2,-y,z+1/2'
'x+1/2,y,-z+1/2'
'x+1/2,-y+1/2,-z+1/2'
'-x+1/2,y+1/2,z+1/2'
'-x,y+1/2,-z'
'x,-y+1/2,z'
loop_
_atom_site_label
_atom_site_type_symbol
_atom_site_fract_x
_atom_site_fract_y
_atom_site_fract_z
Sm1 Sm 0.056 0.250 0.119
Sm2 Sm 0.113 0.750 0.546
Sm3 Sm 0.245 0.250 0.783
Ge1 Ge 0.124 0.250 0.372
Pb1 Pb 0.013 0.250 0.710
Pb2 Pb 0.188 0.750 0.001

---

Entry 3:
# PtRh2Au PBE-GGA relaxed
# Final energy in eV per atom: -5.490
# Energy relative to the lowest polymorph listed for this composition in meV/atom: 457
# Total magnetization in μB per formula unit: 0.00
# Density of states at the Fermi level in states/eV per atom: 1.6172
# Volume in A^3/atom: 17.12
data_PtRh2Au
_cell_length_a 7.127
_cell_length_b 7.127
_cell_length_c 5.393
_cell_angle_alpha 90.00
_cell_angle_beta 90.00
_cell_angle_gamma 90.00
_symmetry_space_group_name_H-M 'I -4 2 d'
_symmetry_Int_Tables_number 122
_symmetry_space_group_name_Hall 'I -4 2bw'
loop_
_atom_site_label
_atom_site_type_symbol
_atom_site_fract_x
_atom_site_fract_y
_atom_site_fract_z
Pt1 Pt 0.000 0.000 0.000
Rh1 Rh 0.235 0.250 0.125
Au1 Au 0.000 0.000 0.500

---

Entry 4:
# Pm8Ni2Os PBE-GGA relaxed
# Final energy in eV per atom: -5.576
# Energy relative to the lowest polymorph listed for this composition in meV/atom: 71
# Total magnetization in μB per formula unit: 0.00
# Density of states at the Fermi level in states/eV per atom: 1.0819
# Volume in A^3/atom: 28.53
data_Pm8Ni2Os
_cell_length_a 8.341
_cell_length_b 12.621
_cell_length_c 6.366
_cell_angle_alpha 90.00
_cell_angle_beta 110.49
_cell_angle_gamma 90.00
_symmetry_space_group_name_H-M 'C 1 m 1'
_symmetry_Int_Tables_number 8
loop_
_symmetry_equiv_pos_as_xyz
'x,y,z'
'x,-y,z'
'x+1/2,y+1/2,z'
'x+1/2,-y+1/2,z'
loop_
_atom_site_label
_atom_site_type_symbol
_atom_site_fract_x
_atom_site_fract_y
_atom_site_fract_z
Pm1 Pm 0.000 0.000 0.000
Pm2 Pm 0.069 0.367 0.816
Pm3 Pm 0.140 0.133 0.589
Pm4 Pm 0.210 0.500 0.374
Pm5 Pm 0.359 0.201 0.194
Ni1 Ni 0.350 0.313 0.689
Os1 Os 0.354 0.000 0.995

---

Entry 5:
# Er12Ni3N5 PBE-GGA relaxed
# Final energy in eV per atom: -6.511
# Total magnetization in μB per formula unit: 0.00
# Density of states at the Fermi level in states/eV per atom: 0.7992
# Volume in A^3/atom: 20.84
data_Er12Ni3N5
_cell_length_a 14.939
_cell_length_b 14.939
_cell_length_c 14.939
_cell_angle_alpha 90.00
_cell_angle_beta 90.00
_cell_angle_gamma 90.00
_symmetry_space_group_name_H-M 'I a -3 d'
_symmetry_Int_Tables_number 230
_symmetry_space_group_name_Hall '-I 4bd 2c 3'
loop_
_atom_site_label
_atom_site_type_symbol
_atom_site_fract_x
_atom_site_fract_y
_atom_site_fract_z
Er1 Er 0.031 0.055 0.651
Ni1 Ni 0.000 0.250 0.125
N1 N 0.000 0.000 0.000
N2 N 0.000 0.250 0.375

---

Entry 6:
# LiNb3O7 PBE-GGA relaxed
# Final energy in eV per atom: -8.234
# Total magnetization in μB per formula unit: 2.02
# Density of states at the Fermi level in states/eV per atom: 0.4079
# Volume in A^3/atom: 14.25
data_LiNb3O7
_cell_length_a 8.4721
_cell_length_b 8.4721
_cell_length_c 7.5629
_cell_angle_alpha 90.00
_cell_angle_beta 90.00
_cell_angle_gamma 120.00
_symmetry_space_group_name_H-M 'R 3 m'
_symmetry_Int_Tables_number 160
_symmetry_space_group_name_Hall 'R 3 -2"'
loop_
_atom_site_label
_atom_site_type_symbol
_atom_site_fract_x
_atom_site_fract_y
_atom_site_fract_z
Li1 Li 0.0000 0.0000 0.0000
Nb1 Nb 0.0685 0.5343 0.0547
O1 O 0.0000 0.0000 0.2605
O2 O 0.2024 0.4047 0.1537
O3 O 0.2090 0.4180 0.5757

---

Entry 7:
# Cd5Pd12Au2 PBE-GGA relaxed
# Final energy in eV per atom: -3.854
# Total magnetization in μB per formula unit: 0.00
# Density of states at the Fermi level in states/eV per atom: 0.6452
# Volume in A^3/atom: 19.04
data_Cd5Pd12Au2
_cell_length_a 15.540
_cell_length_b 5.461
_cell_length_c 8.877
_cell_angle_alpha 90.00
_cell_angle_beta 106.21
_cell_angle_gamma 90.00
_symmetry_space_group_name_H-M 'C 1 2/m 1'
_symmetry_Int_Tables_number 12
loop_
_symmetry_equiv_pos_as_xyz
'x,y,z'
'-x,-y,-z'
'-x,y,-z'
'x,-y,z'
'x+1/2,y+1/2,z'
'-x+1/2,-y+1/2,-z'
'-x+1/2,y+1/2,-z'
'x+1/2,-y+1/2,z'
loop_
_atom_site_label
_atom_site_type_symbol
_atom_site_fract_x
_atom_site_fract_y
_atom_site_fract_z
Cd1 Cd 0.000 0.000 0.000
Cd2 Cd 0.127 0.500 0.367
Cd3 Cd 0.196 0.500 0.878
Pd1 Pd 0.022 0.500 0.863
Pd2 Pd 0.110 0.000 0.799
Pd3 Pd 0.150 0.253 0.112
Pd4 Pd 0.207 0.240 0.621
Au1 Au 0.000 0.247 0.500

---

Entry 8:
# ZrAg PBE-GGA relaxed
# Final energy in eV per atom: -5.812
# Total magnetization in μB per formula unit: 0.00
# Density of states at the Fermi level in states/eV per atom: 0.5608
# Volume in A^3/atom: 20.37
data_ZrAg
_cell_length_a 3.499
_cell_length_b 3.499
_cell_length_c 6.654
_cell_angle_alpha 90.00
_cell_angle_beta 90.00
_cell_angle_gamma 90.00
_symmetry_space_group_name_H-M 'P 4/n m m'
_symmetry_Int_Tables_number 129
loop_
_symmetry_equiv_pos_as_xyz
'x,y,z'
'-x,-y,-z'
'-y+1/2,x,z'
'y+1/2,-x,-z'
'-x+1/2,-y+1/2,z'
'x+1/2,y+1/2,-z'
'y,-x+1/2,z'
'-y,x+1/2,-z'
'x+1/2,-y,-z'
'-x+1/2,y,z'
'-y,-x,-z'
'y,x,z'
'-x,y+1/2,-z'
'x,-y+1/2,z'
'y+1/2,x+1/2,-z'
'-y+1/2,-x+1/2,z'
loop_
_atom_site_label
_atom_site_type_symbol
_atom_site_fract_x
_atom_site_fract_y
_atom_site_fract_z
Zr1 Zr 0.250 0.250 0.142
Ag1 Ag 0.250 0.250 0.614